[1]
First-principles (GGA-PBE) data for an optimized crystal structure of ZrH3Pd, as listed in Alexandria via LeMat-Bulk.

Computed properties:
The value obtained for the total energy is -4.98 eV/atom. As for the total magnetization: 0.000 μB per atom. Its symmetry is Pm-3m. The calculation puts the density of states at the Fermi level at 2.2 states/eV/cell.

Cell lengths 3.578, 3.578, 3.578 Å; angles 90.00, 90.00, 90.00 degrees
Element x y z (fractional)
H 0.000 0.500 0.000
H 0.000 0.000 0.500
H 0.500 0.000 0.000
Zr 0.500 0.500 0.500
Pd 0.000 0.000 0.000


[2]
First-principles (GGA-PBE) data for an optimized crystal structure of La6Os2AuI3, as listed in Alexandria via LeMat-Bulk.

Computed properties:
The calculation puts the energy relative to the elements, uncorrected at -0.85 eV per atom. As for the total magnetization: 0.000 μB per atom. Its symmetry is C2/m. The calculation puts the density of states at the Fermi level at 3.7 states/eV/cell.

Cell lengths 7.455, 7.455, 8.623 Å; angles 98.28, 98.28, 120.00 degrees
Element x y z (fractional)
La 0.937 0.580 0.812
La 0.705 0.705 0.187
La 0.063 0.420 0.188
La 0.580 0.937 0.812
La 0.295 0.295 0.813
La 0.420 0.063 0.188
Os 0.333 0.667 0.000
Os 0.667 0.333 0.000
Au 0.000 0.000 0.000
I 0.164 0.836 0.500
I 0.836 0.164 0.500
I 0.500 0.500 0.500


[3]
First-principles (GGA-PBE) data for an optimized crystal structure of Pa2GaCo3, as listed in Alexandria via LeMat-Bulk.

Computed properties:
For the energy relative to the lowest polymorph listed for this composition, the calculation gives 0 meV/atom. As for the total magnetization: 0.000 μB per atom. Its symmetry is P6_3/mmc. As for the formation energy: -0.438 eV per atom. The calculation puts the density of states at the Fermi level at 10.3 states/eV/cell.

Cell lengths 5.247, 5.247, 7.767 Å; angles 90.00, 90.00, 120.00 degrees
Element x y z (fractional)
Pa 0.667 0.333 0.438
Pa 0.333 0.667 0.562
Pa 0.333 0.667 0.938
Pa 0.667 0.333 0.062
Ga 0.000 0.000 0.500
Ga 0.000 0.000 0.000
Co 0.170 0.339 0.250
Co 0.339 0.170 0.750
Co 0.830 0.661 0.750
Co 0.170 0.830 0.250
Co 0.830 0.170 0.750
Co 0.661 0.830 0.250


[4]
First-principles (GGA-PBE) data for an optimized crystal structure of ZrPb2Au, as listed in Alexandria via LeMat-Bulk.

Computed properties:
For the energy relative to the lowest polymorph listed for this composition, the calculation gives 85 meV/atom. As for the total magnetization: 0.000 μB per atom. Its symmetry is P4/mmm. As for the formation energy: -0.092 eV per atom. The calculation puts the density of states at the Fermi level at 2.1 states/eV/cell.

Cell lengths 4.187, 4.734, 4.734 Å; angles 90.00, 90.00, 90.00 degrees
Element x y z (fractional)
Au 0.500 0.000 0.500
Pb 0.000 0.000 0.000
Pb 0.000 0.500 0.500
Zr 0.500 0.500 0.000


[5]
First-principles (GGA-PBE) data for an optimized crystal structure of TmTiZnCo, as listed in Alexandria via LeMat-Bulk.

Computed properties:
As for the total magnetization: 0.010 μB per atom. Its symmetry is F-43m. As for the formation energy: -0.138 eV per atom. The calculation puts the density of states at the Fermi level at 3.3 states/eV/cell.

Cell lengths 4.586, 4.586, 4.586 Å; angles 60.00, 60.00, 60.00 degrees
Last column: magnetic moment on the atom in μB.
Element x y z (fractional)
Zn 0.750 0.750 0.750  0.00
Tm 0.000 0.000 0.000  -0.16
Co 0.250 0.250 0.250  0.88
Ti 0.500 0.500 0.500  -0.53


[6]
First-principles (GGA-PBE) data for an optimized crystal structure of IrRuN2O, as listed in Alexandria via LeMat-Bulk.

Computed properties:
The calculation puts the energy relative to the elements, uncorrected at 1.27 eV per atom. As for the total magnetization: 0.591 μB per atom. Its symmetry is P4/mmm. The calculation puts the density of states at the Fermi level at 4.4 states/eV/cell.

Cell lengths 3.839, 3.839, 4.004 Å; angles 90.00, 90.00, 90.00 degrees
Last column: magnetic moment on the atom in μB.
Element x y z (fractional)
Ru 0.500 0.500 0.500  2.67
Ir 0.000 0.000 0.000  -0.18
O 0.000 0.000 0.500  0.22
N 0.000 0.500 0.000  0.04
N 0.500 0.000 0.000  0.04


[7]
First-principles (GGA-PBE) data for an optimized crystal structure of K2Pr2USe6, as listed in Alexandria via LeMat-Bulk.

Computed properties:
The calculation puts the energy relative to the elements, uncorrected at -1.58 eV per atom. As for the total magnetization: 0.182 μB per atom. Its symmetry is C2/m. The calculation puts the density of states at the Fermi level at 6.9 states/eV/cell.

Cell lengths 7.432, 7.432, 8.221 Å; angles 98.91, 98.91, 119.51 degrees
Last column: magnetic moment on the atom in μB.
Element x y z (fractional)
K 0.830 0.170 0.000  0.00
K 0.170 0.830 0.000  0.00
Pr 0.334 0.666 0.500  0.01
Pr 0.666 0.334 0.500  0.01
U 0.000 0.000 0.500  2.07
Se 0.753 0.753 0.703  -0.03
Se 0.068 0.389 0.704  -0.03
Se 0.247 0.247 0.297  -0.03
Se 0.389 0.068 0.704  -0.03
Se 0.932 0.611 0.296  -0.03
Se 0.611 0.932 0.296  -0.03


[8]
First-principles (GGA-PBE) data for an optimized crystal structure of HgBi2Te2, as listed in Alexandria via LeMat-Bulk.

Computed properties:
For the energy relative to the lowest polymorph listed for this composition, the calculation gives 37 meV/atom. The calculation puts the energy relative to the elements, uncorrected at -0.02 eV per atom. As for the total magnetization: 0.000 μB per atom. Its symmetry is P4/mbm. The calculation puts the density of states at the Fermi level at 4.4 states/eV/cell.

Cell lengths 8.737, 8.737, 4.276 Å; angles 90.00, 90.00, 90.00 degrees
Element x y z (fractional)
Te 0.149 0.649 0.500
Te 0.649 0.851 0.500
Te 0.851 0.351 0.500
Te 0.351 0.149 0.500
Bi 0.325 0.825 0.000
Bi 0.825 0.675 0.000
Bi 0.675 0.175 0.000
Bi 0.175 0.325 0.000
Hg 0.000 0.000 0.000
Hg 0.500 0.500 0.000


[9]
First-principles (GGA-PBE) data for an optimized crystal structure of NaZn2In2, as listed in Alexandria via LeMat-Bulk.

Computed properties:
For the energy relative to the lowest polymorph listed for this composition, the calculation gives 13 meV/atom. As for the total magnetization: 0.000 μB per atom. Its symmetry is I4/mmm. As for the formation energy: -0.013 eV per atom. The calculation puts the density of states at the Fermi level at 2.1 states/eV/cell.

Cell lengths 4.487, 4.487, 6.738 Å; angles 70.55, 70.55, 90.00 degrees
Element x y z (fractional)
Na 0.000 0.000 0.000
Zn 0.397 0.397 0.205
Zn 0.603 0.603 0.795
In 0.750 0.250 0.500
In 0.250 0.750 0.500


[10]
First-principles (GGA-PBE) data for an optimized crystal structure of Al2SiHg, as listed in Alexandria via LeMat-Bulk.

Computed properties:
For the energy relative to the lowest polymorph listed for this composition, the calculation gives 118 meV/atom. The calculation puts the energy relative to the elements, uncorrected at 0.29 eV per atom. As for the total magnetization: 0.000 μB per atom. Its symmetry is P4/mmm. The calculation puts the density of states at the Fermi level at 1.1 states/eV/cell.

Cell lengths 4.907, 4.907, 3.067 Å; angles 90.00, 90.00, 90.00 degrees
Element x y z (fractional)
Si 0.000 0.500 0.500
Hg 0.500 0.000 0.500
Al 0.000 0.000 0.000
Al 0.500 0.500 0.000